(1)
Density functional theory data (PBE-GGA) for crystalline DyErGaIr at its relaxed geometry.

Values from the calculation:
Energy relative to the elements (kJ/mol of atoms): -73
DOS(E_F) (states/eV/f.u.): 2.770
Offset from the most stable computed form (eV per atom): 0.000

Cell: 3.9229 4.2703 5.6689 Å, 90.00 110.24 90.00°
Element x y z (fractional)
Dy 0.1440 0.0000 0.2880
Ir 0.4252 0.0000 0.8504
Ga 0.5704 0.5000 0.1407
Er 0.8605 0.5000 0.7209

---

(2)
Density functional theory data (PBE-GGA) for crystalline NdEr2NbN4 at its relaxed geometry.

Values from the calculation:
DOS(E_F) (states/eV/f.u.): 2.109
Formation energy (no corrections) (eV per atom): -1.2852

Cell: 3.4015 6.1903 12.0461 Å, 90.00 90.00 105.95°
Element x y z (fractional)
N 0.7406 0.4813 0.6191
N 0.2594 0.5187 0.3809
N 0.2594 0.5187 0.1191
N 0.4470 0.8939 0.7500
N 0.0000 0.0000 0.5000
N 0.7406 0.4813 0.8809
N 0.0000 0.0000 0.0000
N 0.5530 0.1061 0.2500
Nd 0.8993 0.7986 0.2500
Nd 0.1007 0.2014 0.7500
Er 0.6293 0.2587 0.4653
Er 0.3707 0.7413 0.5347
Er 0.3707 0.7413 0.9653
Er 0.6293 0.2587 0.0347
Nb 0.8396 0.6792 0.7500
Nb 0.1604 0.3208 0.2500

---

(3)
Density functional theory data (PBE-GGA) for crystalline MgBTe at its relaxed geometry.

Values from the calculation:
Offset from the most stable computed form (eV per atom): 0.053
Formation energy (no corrections) (eV per atom): -0.0640

Cell: 5.5435 7.1830 7.2947 Å, 118.58 90.00 90.00°
Element x y z (fractional)
Mg 0.2497 0.1778 0.8511
Mg 0.7497 0.3222 0.1489
Mg 0.2503 0.6778 0.8511
Mg 0.7503 0.8222 0.1489
B 0.5897 0.9576 0.9123
B 0.9103 0.4576 0.9123
B 0.4103 0.0424 0.0877
B 0.0897 0.5424 0.0877
Te 0.3804 0.6537 0.3156
Te 0.8804 0.8463 0.6844
Te 0.6196 0.3463 0.6844
Te 0.1196 0.1537 0.3156